Compound: ErScCu
Source: Alexandria via LeMat-Bulk
Functional: GGA-PBE
Structure: optimized geometry

Cell lengths 3.639, 4.609, 4.609 Å; angles 120.00, 90.00, 90.00 degrees
Fractional positions:
Sc 0.107 0.000 0.000
Cu 0.266 0.333 0.667
Er 0.626 0.667 0.333

Results
For the calculated volume, the calculation gives 67 Å³ per cell. The space group is No. 156. As for the raw total energy: -4.983 eV/atom. The energy above the most stable polymorph in this dataset is 0.589 eV/f.u. The value obtained for the density is 6.840 Mg/m³.